Computed, not measured: crystalline TcAsPd at its relaxed geometry at the PBE level of DFT.

Geometry as extended XYZ:
```
6
Lattice="4.393 0.000 0.000 0.000 2.992 0.000 -0.022 0.000 7.064" Properties=species:S:1:pos:R:3 pbc="T T T"
Tc 1.099 0.748 0.479
Tc 3.272 2.244 6.586
As 1.076 2.244 5.414
As 3.295 0.748 1.650
Pd 1.087 2.244 2.946
Pd 3.284 0.748 4.118
```

Properties
ΔE to the lowest computed polymorph: 0.000 eV/atom
ΔE_f: -0.170 eV per atom
final energy: -41.44 eV/cell
space-group type: P2_1/m
total magnetization: 0.000 μB/atom
V: 93 Å³ per cell

Computed, not measured: crystalline NiAsRu at its relaxed geometry at the PBE level of DFT.

Geometry as extended XYZ:
```
3
Lattice="0.000 2.863 2.863 2.863 0.000 2.863 2.863 2.863 0.000" Properties=species:S:1:pos:R:3 pbc="T T T"
Ni 0.000 0.000 0.000
As 2.863 2.863 2.863
Ru 1.431 1.431 1.431
```

Properties
ΔE to the lowest computed polymorph: 0.222 eV/atom
ΔE_f: 0.041 eV per atom
final energy: -19.58 eV/cell
space-group type: F-43m
total magnetization: 0.000 μB/atom
V: 47 Å³ per cell

Computed, not measured: crystalline CdNi3Sn at its relaxed geometry at the PBE level of DFT.

Geometry as extended XYZ:
```
5
Lattice="4.660 0.000 0.000 0.000 4.660 0.000 0.000 0.000 4.660" Properties=species:S:1:pos:R:3 pbc="T T T"
Cd 0.000 0.000 0.000
Ni 0.000 2.330 2.330
Ni 2.330 0.000 2.330
Ni 2.330 2.330 0.000
Sn 2.330 2.330 2.330
```

Properties
ΔE to the lowest computed polymorph: 0.732 eV/atom
ΔE_f: 0.811 eV per atom
final energy: -18.21 eV/cell
space-group type: Pm-3m
total magnetization: 0.000 μB/atom
V: 101 Å³ per cell

Computed, not measured: crystalline TbGdBiPb at its relaxed geometry at the PBE level of DFT.

Geometry as extended XYZ:
```
4
Lattice="0.000 3.899 3.899 3.899 0.000 3.899 3.899 3.899 0.000" Properties=species:S:1:pos:R:3 pbc="T T T"
Tb 0.000 0.000 0.000
Gd 3.899 3.899 3.899
Bi 1.950 1.950 1.950
Pb 5.849 5.849 5.849
```

Properties
ΔE_f: -0.500 eV per atom
final energy: -28.30 eV/cell
space-group type: F-43m
total magnetization: 1.863 μB/atom
V: 119 Å³ per cell

Computed, not measured: crystalline TaVC3 at its relaxed geometry at the PBE level of DFT.

Geometry as extended XYZ:
```
5
Lattice="4.126 0.000 0.000 0.000 4.126 0.000 0.000 0.000 4.126" Properties=species:S:1:pos:R:3 pbc="T T T"
Ta 0.000 0.000 0.000
V 2.063 2.063 2.063
C 0.000 0.000 2.063
C 0.000 2.063 0.000
C 2.063 0.000 0.000
```

Properties
ΔE to the lowest computed polymorph: 0.341 eV/atom
ΔE_f: 1.816 eV per atom
final energy: -39.56 eV/cell
space-group type: Pm-3m
total magnetization: 0.667 μB/atom
V: 70 Å³ per cell

Computed, not measured: crystalline Pr2Be3Si4Pd at its relaxed geometry at the PBE level of DFT.

Geometry as extended XYZ:
```
10
Lattice="4.043 0.000 0.000 0.000 4.043 0.000 0.000 0.000 9.915" Properties=species:S:1:pos:R:3 pbc="T T T"
Pr 0.000 2.022 2.424
Pr 2.022 0.000 7.491
Be 0.000 2.022 8.642
Be 2.022 0.000 1.273
Be 2.022 2.022 4.957
Si 0.000 0.000 0.000
Si 0.000 2.022 6.315
Si 2.022 0.000 3.600
Si 2.022 2.022 0.000
Pd 0.000 0.000 4.957
```

Properties
final energy: -52.67 eV/cell
space-group type: P-4m2
total magnetization: 0.000 μB/atom
ΔE_f (raw): -0.504 eV per atom
V: 162 Å³ per cell

Computed, not measured: crystalline TbPmTe2 at its relaxed geometry at the PBE level of DFT.

Geometry as extended XYZ:
```
4
Lattice="3.822 0.000 0.000 0.000 3.822 0.000 0.000 0.000 7.647" Properties=species:S:1:pos:R:3 pbc="T T T"
Tb 0.000 0.000 0.000
Pm 0.000 0.000 3.824
Te 1.911 1.911 1.875
Te 1.911 1.911 5.773
```

Properties
ΔE to the lowest computed polymorph: 0.138 eV/atom
final energy: -20.65 eV/cell
space-group type: P4/mmm
total magnetization: 0.185 μB/atom
ΔE_f (raw): -1.245 eV per atom
V: 112 Å³ per cell

Computed, not measured: crystalline AcAl2CdPt4 at its relaxed geometry at the PBE level of DFT.

Geometry as extended XYZ:
```
8
Lattice="2.161 1.248 9.703 -2.161 1.248 9.703 0.000 -2.495 9.703" Properties=species:S:1:pos:R:3 pbc="T T T"
Ac 0.000 0.000 0.000
Al 0.000 0.000 6.963
Al 0.000 0.000 22.146
Cd 0.000 0.000 14.554
Pt 0.000 0.000 3.495
Pt 0.000 0.000 11.715
Pt 0.000 0.000 17.394
Pt 0.000 0.000 25.614
```

Properties
ΔE_f: -0.835 eV per atom
final energy: -43.35 eV/cell
space-group type: R-3m
total magnetization: 0.000 μB/atom
V: 157 Å³ per cell

Computed, not measured: crystalline TlCoSCl2 at its relaxed geometry at the PBE level of DFT.

Geometry as extended XYZ:
```
5
Lattice="5.257 0.000 0.000 0.000 5.257 0.000 0.000 0.000 5.178" Properties=species:S:1:pos:R:3 pbc="T T T"
Tl 0.000 0.000 0.000
Co 2.629 2.629 2.589
S 0.000 0.000 2.589
Cl 0.000 2.629 0.000
Cl 2.629 0.000 0.000
```

Properties
ΔE to the lowest computed polymorph: 0.932 eV/atom
final energy: -14.49 eV/cell
space-group type: P4/mmm
total magnetization: 0.470 μB/atom
ΔE_f (raw): 0.561 eV per atom
V: 143 Å³ per cell